Density functional theory data (PBE) for an optimized crystal structure of SrTcRh2.

Cell: 6.0960 6.0960 6.0960 Å, 104.34 104.34 120.31°
Fractional coordinates of all 8 atoms:
Sr  0.0000  0.0000  0.0000
Sr  0.7500  0.2500  0.5000
Tc  0.2500  0.7500  0.5000
Tc  0.5000  0.5000  0.0000
Rh  0.1952  0.6250  0.0702
Rh  0.3750  0.4452  0.5702
Rh  0.5548  0.1250  0.9298
Rh  0.8750  0.8048  0.4298

Computed properties:
E ... -6.237 eV per atom
Excess energy over the best structure of this formula in the dataset ... 0.3105 eV per atom
DFT formation energy ... 1.80 eV/f.u.


Density functional theory data (PBE) for an optimized crystal structure of Ac4IrRhSe2.

Cell: 7.5134 4.3424 8.0317 Å, 90.00 108.19 90.00°
Fractional coordinates of all 8 atoms:
Ac  0.2400  0.0000  0.2233
Ac  0.2577  0.5000  0.7761
Ac  0.7423  0.5000  0.2239
Ac  0.7600  0.0000  0.7767
Ir  0.0000  0.5000  0.0000
Rh  0.5000  0.0000  0.0000
Se  0.0000  0.0000  0.5000
Se  0.5000  0.5000  0.5000

Computed properties:
Formation energy without anion corrections ... -10.14 eV/f.u.
E ... -6.219 eV per atom


Density functional theory data (PBE) for an optimized crystal structure of NdEuCuPb.

Cell: 5.4162 5.4162 5.4162 Å, 60.00 60.00 60.00°
Fractional coordinates of all 4 atoms:
Nd  0.0000  0.0000  0.0000
Eu  0.5000  0.5000  0.5000
Cu  0.2500  0.2500  0.2500
Pb  0.7500  0.7500  0.7500

Computed properties:
E ... -6.025 eV per atom
DFT formation energy ... -1.25 eV/f.u.


Density functional theory data (PBE) for an optimized crystal structure of La14TmSn.

Cell: 10.4187 7.3146 7.3146 Å, 89.97 90.00 90.00°
Fractional coordinates of all 16 atoms:
La  0.0000  0.0000  0.0000
La  0.0000  0.9998  0.4995
La  0.0000  0.4981  0.4981
La  0.0000  0.4995  0.9998
La  0.2575  0.2431  0.7561
La  0.2575  0.7561  0.2431
La  0.2568  0.7559  0.7559
La  0.2579  0.2431  0.2431
La  0.5000  0.5000  0.9992
La  0.5000  0.9992  0.5000
La  0.7421  0.2431  0.2431
La  0.7425  0.2431  0.7561
La  0.7425  0.7561  0.2431
La  0.7432  0.7559  0.7559
Tm  0.5000  0.4997  0.4997
Sn  0.5000  0.9994  0.9994

Computed properties:
E ... -4.941 eV per atom
DFT formation energy ... -1.60 eV/f.u.


Density functional theory data (PBE) for an optimized crystal structure of TcSb2Rh.

Cell: 3.3772 3.9929 5.5030 Å, 90.00 90.00 90.00°
Fractional coordinates of all 4 atoms:
Tc  0.0000  0.0000  0.0000
Sb  0.0000  0.0000  0.4908
Sb  0.5000  0.5000  0.8540
Rh  0.5000  0.5000  0.3496

Computed properties:
Formation energy without anion corrections ... -0.17 eV/f.u.
E ... -6.532 eV per atom
Excess energy over the best structure of this formula in the dataset ... 0.0258 eV per atom


Density functional theory data (PBE) for an optimized crystal structure of Ca4P5Pd5.

Cell: 15.8087 15.8087 8.2331 Å, 90.00 90.00 165.07°
Fractional coordinates of all 28 atoms:
Ca  0.0789  0.9211  0.5024
Ca  0.0789  0.9211  0.9976
Ca  0.3063  0.6937  0.0074
Ca  0.3063  0.6937  0.4926
Ca  0.6937  0.3063  0.5074
Ca  0.6937  0.3063  0.9926
Ca  0.9211  0.0789  0.0024
Ca  0.9211  0.0789  0.4976
P  0.1582  0.8418  0.2500
P  0.1580  0.8420  0.7500
P  0.2289  0.7711  0.2500
P  0.4539  0.5461  0.7500
P  0.4553  0.5447  0.2500
P  0.5447  0.4553  0.7500
P  0.5461  0.4539  0.2500
P  0.7711  0.2289  0.7500
P  0.8420  0.1580  0.2500
P  0.8418  0.1582  0.7500
Pd  0.0005  0.9995  0.2500
Pd  0.2352  0.7648  0.7500
Pd  0.3784  0.6216  0.7500
Pd  0.3805  0.6195  0.2500
Pd  0.5000  0.5000  0.0000
Pd  0.5000  0.5000  0.5000
Pd  0.6195  0.3805  0.7500
Pd  0.6216  0.3784  0.2500
Pd  0.7648  0.2352  0.2500
Pd  0.9995  0.0005  0.7500

Computed properties:
E ... -5.318 eV per atom
DFT formation energy ... -13.43 eV/f.u.


Density functional theory data (PBE) for an optimized crystal structure of Pm5Ga.

Cell: 8.0585 8.0585 4.8749 Å, 90.00 90.00 144.87°
Fractional coordinates of all 6 atoms:
Pm  0.0000  0.0000  0.0000
Pm  0.1596  0.8404  0.5000
Pm  0.3405  0.6595  0.0000
Pm  0.6595  0.3405  0.0000
Pm  0.8404  0.1596  0.5000
Ga  0.5000  0.5000  0.5000

Computed properties:
E ... -4.580 eV per atom
DFT formation energy ... -0.70 eV/f.u.


Density functional theory data (PBE) for an optimized crystal structure of CePmTeI.

Cell: 5.4658 5.4658 5.4658 Å, 60.00 60.00 60.00°
Fractional coordinates of all 4 atoms:
Ce  0.0000  0.0000  0.0000
Pm  0.5000  0.5000  0.5000
Te  0.7500  0.7500  0.7500
I  0.2500  0.2500  0.2500

Computed properties:
Formation energy without anion corrections ... -4.13 eV/f.u.
E ... -4.877 eV per atom


Density functional theory data (PBE) for an optimized crystal structure of TiTl2CdPb.

Cell: 5.9883 5.9883 5.4852 Å, 90.00 90.00 90.00°
Fractional coordinates of all 5 atoms:
Ti  0.0000  0.0000  0.0000
Tl  0.0000  0.5000  0.5000
Tl  0.5000  0.0000  0.5000
Cd  0.5000  0.5000  0.0000
Pb  0.0000  0.0000  0.5000

Computed properties:
E ... -2.665 eV per atom
DFT formation energy ... 3.93 eV/f.u.


Density functional theory data (PBE) for an optimized crystal structure of Ce2Ga8Pd.

Cell: 4.3785 4.3785 11.2929 Å, 90.00 90.00 90.00°
Fractional coordinates of all 11 atoms:
Ce  0.0000  0.0000  0.1916
Ce  0.0000  0.0000  0.8084
Ga  0.0000  0.5000  0.0000
Ga  0.0000  0.5000  0.3754
Ga  0.0000  0.5000  0.6246
Ga  0.5000  0.0000  0.0000
Ga  0.5000  0.0000  0.3754
Ga  0.5000  0.0000  0.6246
Ga  0.5000  0.5000  0.1945
Ga  0.5000  0.5000  0.8055
Pd  0.0000  0.0000  0.5000

Computed properties:
E ... -4.286 eV per atom
DFT formation energy ... -5.87 eV/f.u.


Density functional theory data (PBE) for an optimized crystal structure of AsWBr2.

Cell: 3.1440 4.6772 5.7164 Å, 90.00 90.00 90.00°
Fractional coordinates of all 4 atoms:
As  0.0000  0.0000  0.0000
W  0.5000  0.0000  0.5000
Br  0.0000  0.5000  0.5000
Br  0.5000  0.5000  0.0000

Computed properties:
Formation energy without anion corrections ... 4.16 eV/f.u.
E ... -4.196 eV per atom
Excess energy over the best structure of this formula in the dataset ... 1.0670 eV per atom


Density functional theory data (PBE) for an optimized crystal structure of Ce5Si2Bi.

Cell: 8.8508 8.8508 8.8508 Å, 127.14 127.14 78.03°
Fractional coordinates of all 16 atoms:
Ce  0.0000  0.0000  0.0000
Ce  0.0081  0.5081  0.2387
Ce  0.2307  0.9919  0.5000
Ce  0.2693  0.7693  0.7613
Ce  0.4919  0.7307  0.5000
Ce  0.5000  0.5000  0.0000
Ce  0.5081  0.2693  0.5000
Ce  0.7307  0.2307  0.2387
Ce  0.7693  0.0081  0.5000
Ce  0.9919  0.4919  0.7613
Si  0.1633  0.3367  0.5000
Si  0.3367  0.8367  0.1734
Si  0.6633  0.1633  0.8266
Si  0.8367  0.6633  0.5000
Bi  0.2500  0.2500  0.0000
Bi  0.7500  0.7500  0.0000

Computed properties:
Formation energy without anion corrections ... -4.53 eV/f.u.
E ... -6.115 eV per atom